DFT (SCAN) results for a PBEsol-optimized structure of TlGeF3.

abc: 4.564 4.552 4.808
angles: 103.56 96.55 87.32
Fractional coordinates of all 5 atoms:
Ge  0.511  0.487  0.494
Tl  0.079  0.099  0.938
F  0.927  0.487  0.560
F  0.491  0.912  0.561
F  0.491  0.524  0.887

The value obtained for the relative energy among the computed polymorphs is 30 meV per atom. The value obtained for the total magnetization is 0.000 μB/atom. For the total energy, the calculation gives -112.3 eV for the cell shown. For the energy relative to the elements, uncorrected, the calculation gives -10.209 eV/f.u. The density of states at the Fermi level comes out at 0.000 states/eV per atom.

---

DFT (SCAN) results for a PBEsol-optimized structure of TlGeF3.

abc: 4.750 5.808 7.058
angles: 90.00 104.82 90.00
Fractional coordinates of all 10 atoms:
F  0.185  0.976  0.828
Tl  0.668  0.250  0.804
Ge  0.925  0.250  0.364
F  0.306  0.250  0.341
F  0.815  0.476  0.172
F  0.815  0.024  0.172
Tl  0.332  0.750  0.196
Ge  0.075  0.750  0.636
F  0.694  0.750  0.659
F  0.185  0.524  0.828

The value obtained for the relative energy among the computed polymorphs is 0 meV per atom. The value obtained for the total magnetization is 0.000 μB/atom. For the total energy, the calculation gives -224.9 eV for the cell shown. For the energy relative to the elements, uncorrected, the calculation gives -10.359 eV/f.u. The density of states at the Fermi level comes out at 0.000 states/eV per atom.

---

DFT (SCAN) results for a PBEsol-optimized structure of Y2GeF.

abc: 4.812 4.812 4.812
angles: 60.00 60.00 60.00
Each line ends with the local moment (μB).
Fractional coordinates of all 4 atoms:
Ge  0.500  0.500  0.500  0.06
Y  0.750  0.750  0.750  -0.34
Y  0.250  0.250  0.250  -0.34
F  0.000  0.000  0.000  0.00

The value obtained for the total magnetization is 0.200 μB/atom. For the total energy, the calculation gives -84.4 eV for the cell shown. For the energy relative to the elements, uncorrected, the calculation gives -6.039 eV/f.u. The density of states at the Fermi level comes out at 0.472 states/eV per atom.

---

DFT (SCAN) results for a PBEsol-optimized structure of ZnGeF2.

abc: 4.229 4.229 4.229
angles: 60.00 60.00 60.00
Fractional coordinates of all 4 atoms:
Ge  0.500  0.500  0.500
Zn  0.000  0.000  0.000
F  0.750  0.750  0.750
F  0.250  0.250  0.250

The value obtained for the total magnetization is 0.000 μB/atom. For the total energy, the calculation gives -43.3 eV for the cell shown. For the energy relative to the elements, uncorrected, the calculation gives -3.574 eV/f.u. The density of states at the Fermi level comes out at 0.082 states/eV per atom.